1.
SiSe | PBE-GGA | relaxed

As for the crystal system: cubic. The formation energy without anion corrections comes out at 0.97 eV/f.u.

The structure belongs to space group Pm-3m (No. 221); the cell edges are 5.109, 5.109 and 5.109 Å and the angles 90.00°, 90.00° and 90.00°. The distinct sites, in fractional coordinates, are Si at (0.000, 0.000, 0.500) and Se at (0.000, 0.500, 0.500).

---

2.
BaYb2O4 | PBE-GGA | relaxed

As for the crystal system: orthorhombic. The formation energy without anion corrections comes out at -19.03 eV/f.u.

The structure belongs to space group Pnma (No. 62); the cell edges are 10.452, 3.471 and 12.188 Å and the angles 90.00°, 90.00° and 90.00°. The distinct sites, in fractional coordinates, are Ba at (0.246, 0.250, 0.152), Yb at (0.072, 0.250, 0.389), Yb at (0.079, 0.250, 0.893), O at (0.019, 0.750, 0.783), O at (0.072, 0.250, 0.575), O at (0.115, 0.750, 0.019) and O at (0.210, 0.750, 0.340).

---

3.
Nd2TaN4 | PBE-GGA | relaxed

As for the crystal system: monoclinic. The formation energy without anion corrections comes out at -6.60 eV/f.u.

The structure belongs to space group P2_1/m (No. 11); the cell edges are 6.103, 6.158 and 6.881 Å and the angles 90.00°, 108.13° and 90.00°. The distinct sites, in fractional coordinates, are Nd at (0.164, 0.250, 0.022), Nd at (0.246, 0.250, 0.551), Ta at (0.285, 0.750, 0.812), N at (0.061, 0.512, 0.750), N at (0.481, 0.750, 0.096) and N at (0.495, 0.250, 0.340).

---

| no. | spin magnetization (μB per cell) |
| --- | --- |
| 1 | 0.00 |
| 2 | 8.13 |
| 3 | 1.72 |